Record 1
First-principles (PBE-GGA) data for a relaxed LiZr2Au crystal, as listed in Alexandria via LeMat-Bulk.

Total moment = 2.184 μB/f.u.
Energy of formation from the pure elements = 1.30 kJ/mol of atoms
Space group = No. 216

Cell: 4.7949 4.7949 4.7949 Å, 60.00 60.00 60.00°
With the nearest neighbours (Å) after each atom.
Element x y z (fractional)
Zr1 0.0000 0.0000 0.0000  4 Li 2.94, 4 Zr 2.94
Zr2 0.2500 0.2500 0.2500  4 Zr 2.94, 4 Au 2.94
Li1 0.7500 0.7500 0.7500  4 Zr 2.94, 4 Au 2.94
Au1 0.5000 0.5000 0.5000  4 Zr 2.94, 4 Li 2.94


Record 2
First-principles (PBE-GGA) data for a relaxed MgNpCd2O8 crystal, as listed in Alexandria via LeMat-Bulk.

Total moment = 1.032 μB/f.u.
Space group = No. 10
Final energy = -6.28 eV/atom

Cell: 5.1757 4.8616 6.5034 Å, 90.00 90.00 84.73°
With the nearest neighbours (Å) after each atom.
Element x y z (fractional)
Cd1 0.5000 0.5000 0.7582  4 O 2.15-2.37
Cd2 0.5000 0.5000 0.2418  4 O 2.15-2.37
O1 0.5899 0.8906 0.5000  1 O 1.35
O2 0.7006 0.7771 0.0000  1 Np 1.97
O3 0.8562 0.2333 0.7510  1 Np 2.08, 1 Mg 2.09, 1 Cd 2.15
O4 0.1438 0.7667 0.2490  1 Np 2.08, 1 Mg 2.09, 1 Cd 2.15
O5 0.1438 0.7667 0.7510  1 Np 2.08, 1 Mg 2.09, 1 Cd 2.15
O6 0.2994 0.2229 0.0000  1 Np 1.97
O7 0.4101 0.1094 0.5000  1 O 1.35
O8 0.8562 0.2333 0.2490  1 Np 2.08, 1 Mg 2.09, 1 Cd 2.15
Mg1 0.0000 0.0000 0.5000  6 O 2.09-2.24
Np1 0.0000 0.0000 0.0000  6 O 1.97-2.08


Record 3
First-principles (PBE-GGA) data for a relaxed YCrPd2Cl crystal, as listed in Alexandria via LeMat-Bulk.

Total moment = 4.136 μB/f.u.
Space group = No. 123
Final energy = -5.45 eV/atom

Cell: 4.6462 4.9679 4.6462 Å, 90.00 90.00 90.00°
With the nearest neighbours (Å) after each atom.
Element x y z (fractional)
Cr1 0.5000 0.5000 0.5000  4 Y 3.29, 8 Pd 3.40
Y1 0.0000 0.5000 0.0000  2 Cl 2.48
Pd1 0.5000 0.0000 0.0000  2 Cl 2.32
Pd2 0.0000 0.0000 0.5000  2 Cl 2.32
Cl1 0.0000 0.0000 0.0000  4 Pd 2.32, 2 Y 2.48


Record 4
First-principles (PBE-GGA) data for a relaxed Tm2ZnInHg crystal, as listed in Alexandria via LeMat-Bulk.

Total moment = 0.000 μB/f.u.
Energy of formation from the pure elements = -31.88 kJ/mol of atoms
Space group = No. 11

Cell: 4.6059 7.4285 7.2418 Å, 105.08 90.00 90.00°
With the nearest neighbours (Å) after each atom.
Element x y z (fractional)
Tm1 0.2500 0.1355 0.3959  2 Hg 3.04, 1 Zn 3.16, 3 In 3.16-3.33
Tm2 0.7500 0.6882 0.0355  3 Hg 2.97-3.13, 1 Zn 3.09, 3 In 3.12-3.21
Tm3 0.7500 0.8645 0.6041  2 Hg 3.04, 1 Zn 3.16, 3 In 3.16-3.33
Tm4 0.2500 0.3118 0.9645  3 Hg 2.97-3.13, 1 Zn 3.09, 3 In 3.12-3.21
Hg1 0.7500 0.1012 0.1139  1 Zn 2.70, 1 Tm 2.97, 2 Hg 3.00
Hg2 0.2500 0.8988 0.8861  1 Zn 2.70, 1 Tm 2.97, 2 Hg 3.00
In1 0.2500 0.6734 0.3223  3 Zn 2.83-2.90, 4 Tm 3.12-3.16
In2 0.7500 0.3266 0.6777  3 Zn 2.83-2.90, 4 Tm 3.12-3.16
Zn1 0.7500 0.4557 0.3331  1 Hg 2.70, 3 In 2.83-2.90
Zn2 0.2500 0.5443 0.6669  1 Hg 2.70, 3 In 2.83-2.90


Record 5
First-principles (PBE-GGA) data for a relaxed Zr2GaAu2 crystal, as listed in Alexandria via LeMat-Bulk.

Total moment = 0.000 μB/f.u.
Energy of formation from the pure elements = -42.75 kJ/mol of atoms
ΔE to the lowest computed polymorph = 0.00 eV/f.u.
Space group = No. 127

Cell: 7.1443 7.1443 3.9508 Å, 90.00 90.00 90.00°
With the nearest neighbours (Å) after each atom.
Element x y z (fractional)
Ga1 0.0000 0.0000 0.0000  4 Au 2.78
Ga2 0.5000 0.5000 0.0000  4 Au 2.78
Au1 0.6362 0.1362 0.0000  1 Au 2.75, 2 Ga 2.78, 6 Zr 2.79-2.95
Au2 0.1362 0.3638 0.0000  1 Au 2.75, 2 Ga 2.78, 6 Zr 2.79-2.95
Au3 0.3638 0.8638 0.0000  1 Au 2.75, 2 Ga 2.78, 6 Zr 2.79-2.95
Au4 0.8638 0.6362 0.0000  1 Au 2.75, 2 Ga 2.78, 6 Zr 2.79-2.95
Zr1 0.6692 0.8308 0.5000  6 Au 2.79-2.95
Zr2 0.1692 0.6692 0.5000  6 Au 2.79-2.95
Zr3 0.3308 0.1692 0.5000  6 Au 2.79-2.95
Zr4 0.8308 0.3308 0.5000  6 Au 2.79-2.95


Record 6
First-principles (PBE-GGA) data for a relaxed NdNi2Ge crystal, as listed in Alexandria via LeMat-Bulk.

Total moment = 0.000 μB/f.u.
Energy of formation from the pure elements = -40.84 kJ/mol of atoms
Space group = No. 129

Cell: 3.8999 3.8999 9.3817 Å, 90.00 90.00 90.00°
With the nearest neighbours (Å) after each atom.
Element x y z (fractional)
Nd1 0.0000 0.5000 0.7877  5 Ni 2.87-2.97, 4 Ge 3.07
Nd2 0.5000 0.0000 0.2123  5 Ni 2.87-2.97, 4 Ge 3.07
Ni1 0.0000 0.5000 0.0938  1 Ge 2.45
Ni2 0.5000 0.0000 0.9062  1 Ge 2.45
Ni3 0.5000 0.5000 0.5000  4 Ge 2.38
Ni4 0.0000 0.0000 0.5000  4 Ge 2.38
Ge1 0.5000 0.0000 0.6451  5 Ni 2.38-2.45
Ge2 0.0000 0.5000 0.3549  5 Ni 2.38-2.45


Record 7
First-principles (PBE-GGA) data for a relaxed LaReP crystal, as listed in Alexandria via LeMat-Bulk.

Total moment = 0.000 μB/f.u.
Energy of formation from the pure elements = -46.92 kJ/mol of atoms
ΔE to the lowest computed polymorph = 0.00 eV/f.u.
Space group = No. 187

Cell: 4.0726 4.0726 4.5047 Å, 90.00 90.00 120.00°
With the nearest neighbours (Å) after each atom.
Element x y z (fractional)
P1 0.3333 0.6667 0.4999  3 Re 2.35
Re1 0.6667 0.3333 0.5000  3 P 2.35
La1 0.0000 0.0000 0.0000  6 P 3.26, 6 Re 3.26


Record 8
First-principles (PBE-GGA) data for a relaxed AlNi crystal, as listed in Alexandria via LeMat-Bulk.

Total moment = 0.000 μB/f.u.
Energy of formation from the pure elements = -40.06 kJ/mol of atoms
Space group = No. 166

Cell: 4.2205 4.2205 4.2205 Å, 37.63 37.63 37.63°
With the nearest neighbours (Å) after each atom.
Element x y z (fractional)
Al1 0.0000 0.0000 0.0000  6 Ni 2.51, 6 Al 2.72
Ni1 0.5000 0.5000 0.5000  6 Al 2.51, 6 Ni 2.72